VASP calculation (GGA-PBE) on a relaxed structure of ZrBeBr2.

E above lowest polymorph: 0.4043 eV/atom
symmetry: No. 166
uncorrected energy: -48.2 eV/cell
calculated volume: 311.5 Å³/cell

Cell lengths 3.3833, 3.3833, 31.4195 Å; angles 90.00, 90.00, 120.00 degrees
Atoms (fractional coordinates):
Zr  0.0000  0.0000  0.0000
Zr  0.3333  0.6667  0.6667
Zr  0.6667  0.3333  0.3333
Be  0.0000  0.0000  0.5000
Be  0.3333  0.6667  0.1667
Be  0.6667  0.3333  0.8333
Br  0.0000  0.0000  0.2709
Br  0.0000  0.0000  0.7291
Br  0.3333  0.6667  0.3958
Br  0.3333  0.6667  0.9375
Br  0.6667  0.3333  0.0625
Br  0.6667  0.3333  0.6042

=====

VASP calculation (GGA-PBE) on a relaxed structure of ZrBe2Br.

E above lowest polymorph: 0.8545 eV/atom
symmetry: No. 225
uncorrected energy: -55.5 eV/cell
calculated volume: 268.8 Å³/cell

Cell lengths 6.4533, 6.4533, 6.4533 Å; angles 90.00, 90.00, 90.00 degrees
Atoms (fractional coordinates):
Zr  0.0000  0.0000  0.0000
Zr  0.0000  0.5000  0.5000
Zr  0.5000  0.0000  0.5000
Zr  0.5000  0.5000  0.0000
Be  0.2500  0.2500  0.2500
Be  0.2500  0.2500  0.7500
Be  0.2500  0.7500  0.2500
Be  0.2500  0.7500  0.7500
Be  0.7500  0.2500  0.2500
Be  0.7500  0.2500  0.7500
Be  0.7500  0.7500  0.2500
Be  0.7500  0.7500  0.7500
Br  0.0000  0.0000  0.5000
Br  0.0000  0.5000  0.0000
Br  0.5000  0.0000  0.0000
Br  0.5000  0.5000  0.5000

=====

The lowest uncorrected energy belongs to which entry? ZrBe2Br

=====

What is the formula in the second record? ZrBe2Br